No. 1
TlCoReAu | the Open Quantum Materials Database | GGA-PBE | optimized geometry; E = -86.42 eV per cell; density = 16.11 Mg/m³
1.0
6.436 0.000 0.000
0.000 6.436 0.000
0.000 0.000 6.436
Tl Co Re Au
4 4 4 4
direct
0.000 0.000 0.000
0.000 0.500 0.500
0.500 0.000 0.500
0.500 0.500 0.000
0.250 0.250 0.250
0.250 0.750 0.750
0.750 0.250 0.750
0.750 0.750 0.250
0.250 0.250 0.750
0.250 0.750 0.250
0.750 0.250 0.250
0.750 0.750 0.750
0.000 0.000 0.500
0.000 0.500 0.000
0.500 0.000 0.000
0.500 0.500 0.500


No. 2
LuFeSnIr | the Open Quantum Materials Database | GGA-PBE | optimized geometry; E = -103.69 eV per cell; density = 12.68 Mg/m³
1.0
6.571 0.000 0.000
0.000 6.571 0.000
0.000 0.000 6.571
Lu Fe Sn Ir
4 4 4 4
direct
0.000 0.000 0.000
0.000 0.500 0.500
0.500 0.000 0.500
0.500 0.500 0.000
0.000 0.000 0.500
0.000 0.500 0.000
0.500 0.000 0.000
0.500 0.500 0.500
0.250 0.250 0.250
0.250 0.750 0.750
0.750 0.250 0.750
0.750 0.750 0.250
0.250 0.250 0.750
0.250 0.750 0.250
0.750 0.250 0.250
0.750 0.750 0.750


No. 3
TaZnNO | the Open Quantum Materials Database | GGA-PBE | optimized geometry; E = -60.82 eV per cell; density = 8.20 Mg/m³
1.0
3.245 0.000 0.000
0.000 5.121 0.000
0.000 0.000 6.734
Ta Zn N O
2 2 2 2
direct
0.000 0.112 0.000
0.000 0.888 0.500
0.500 0.342 0.386
0.500 0.658 0.886
0.500 0.324 0.053
0.500 0.676 0.553
0.000 0.142 0.714
0.000 0.858 0.214


No. 4
RbZrCdS3 | the Open Quantum Materials Database | GGA-PBE | optimized geometry; E = -116.40 eV per cell; density = 4.12 Mg/m³
1.0
10.371 0.000 0.000
0.000 3.960 0.000
0.000 0.000 15.141
Rb Zr Cd S
4 4 4 12
direct
0.250 0.250 0.006
0.250 0.750 0.506
0.750 0.250 0.494
0.750 0.750 0.994
0.006 0.250 0.750
0.494 0.750 0.250
0.506 0.250 0.750
0.994 0.750 0.250
0.244 0.250 0.292
0.256 0.750 0.792
0.744 0.250 0.208
0.756 0.750 0.708
0.032 0.250 0.367
0.043 0.750 0.868
0.244 0.750 0.185
0.256 0.250 0.685
0.457 0.250 0.368
0.468 0.750 0.867
0.532 0.250 0.133
0.543 0.750 0.632
0.744 0.750 0.315
0.756 0.250 0.815
0.957 0.250 0.132
0.968 0.750 0.633